Here is an optimized crystal structure of ScV2SnO6 from Alexandria. Energies are from PBE+U.

Results
DOS(E_F) ... 0.03 states/eV per cell
Uncorrected energy ... -7.64 eV per atom
Magnetic moment ... 3.00 μB/f.u.

Cell lengths 5.378, 5.398, 5.610 Å; angles 90.42, 118.39, 119.54 degrees
Space group P1 (No. 1)
Inequivalent atoms, fractional coordinates:
Sc: 0.000 0.000 0.000
V: 0.416 0.703 0.124
V: 0.424 0.208 0.639
Sn: 0.963 0.474 0.451
O: 0.269 0.940 0.852
O: 0.318 0.872 0.328
O: 0.456 0.424 0.337
O: 0.524 0.589 0.860
O: 0.912 0.026 0.336
O: 0.918 0.328 0.849